18
Lattice="7.074 0.000 0.000 -3.537 6.126 0.000 0.000 0.000 6.494" Properties=species:S:1:pos:R:3 comment="BiPO4 PBE-GGA optimized geometry" formation_energy_uncorrected_ev_per_atom=-1.9427 total_energy_ev_per_atom=-6.80 pbc="T T T"
O 0.860 3.027 1.031
O 2.192 2.258 5.463
O 5.130 1.492 5.201
Bi 1.818 3.149 3.247
Bi 3.437 0.000 5.412
O 3.217 3.697 0.872
O 1.593 4.634 5.622
O 0.485 5.358 3.196
P 1.964 3.402 0.000
P 3.145 0.000 2.165
O 2.264 0.937 3.036
O -1.345 3.868 5.361
Bi -1.719 2.977 1.082
O 4.023 0.769 1.133
O -0.320 2.429 3.457
P -1.573 2.724 4.329
O 4.397 3.099 3.298
O -1.273 5.189 1.293



5
Lattice="-2.718 0.365 2.724 0.955 -3.467 1.416 3.084 1.997 2.810" Properties=species:S:1:pos:R:3 comment="BiP2O2 PBE-GGA optimized geometry" formation_energy_uncorrected_ev_per_atom=-0.3514 total_energy_ev_per_atom=-5.27 relative_energy_mev_per_atom=0.0 pbc="T T T"
P 0.000 0.000 0.000
O 0.477 -1.734 0.708
P 1.542 0.998 1.405
Bi 0.660 -0.553 3.475
O -1.359 0.182 1.362



30
Lattice="-2.150 5.364 3.826 3.541 -5.366 4.333 6.689 4.972 -3.981" Properties=species:S:1:pos:R:3 comment="Bi3P2O10 PBE-GGA optimized geometry" formation_energy_uncorrected_ev_per_atom=-1.6870 total_energy_ev_per_atom=-6.49 relative_energy_mev_per_atom=13.8 pbc="T T T"
O 6.072 5.220 2.821
P 0.417 5.107 3.751
O 1.677 2.937 0.746
O 4.962 2.984 1.182
P 3.956 6.646 -0.066
O 1.046 3.714 3.421
Bi 3.213 1.674 5.341
O -0.667 5.503 2.708
O 4.295 4.228 4.361
O 4.356 -0.135 4.395
O 3.784 0.742 -0.183
O 6.402 2.033 3.433
P 4.124 -1.676 4.244
O 3.117 1.986 2.997
O 7.033 1.256 0.757
Bi 3.188 4.062 2.192
O 1.372 0.830 4.767
O 2.007 -0.251 1.357
O 3.723 5.104 -0.217
O 4.333 -1.983 2.739
O 2.737 -2.116 4.731
Bi 7.347 3.722 1.491
O 6.707 4.140 -0.589
O 5.342 7.086 -0.552
Bi 0.732 1.247 2.687
O 3.746 6.953 1.440
P 7.663 -0.137 0.427
Bi 4.891 0.908 1.987
Bi 4.866 3.296 -1.163
O 8.746 -0.533 1.470



12
Lattice="-0.868 0.150 4.701 -4.261 -1.830 -1.167 2.687 -6.710 0.711" Properties=species:S:1:pos:R:3 comment="BiPO4 PBE-GGA optimized geometry" formation_energy_uncorrected_ev_per_atom=-1.9476 total_energy_ev_per_atom=-6.80 pbc="T T T"
O -3.722 -2.488 2.993
P -0.403 -3.927 1.559
O -3.247 -1.216 0.794
O -1.933 -6.955 3.466
Bi -3.103 -4.811 3.419
O -0.063 -2.547 0.896
O -1.732 -4.515 1.034
Bi 2.006 -6.933 1.180
O -0.538 -3.819 3.095
O -2.053 -0.520 2.855
O 0.835 -4.790 1.134
P -3.382 -1.108 2.330



6
Lattice="4.505 0.034 0.389 -0.767 4.614 -0.531 0.250 -2.405 6.872" Properties=species:S:1:pos:R:3 comment="BiPO PBE-GGA optimized geometry" formation_energy_uncorrected_ev_per_atom=-0.7883 total_energy_ev_per_atom=-5.54 relative_energy_mev_per_atom=8.0 pbc="T T T"
Bi 3.469 1.637 1.133
Bi 3.266 1.509 4.213
O 1.263 2.698 4.038
P 1.344 3.323 0.961
P 1.752 -0.689 3.622
O 0.221 -0.401 3.731



12
Lattice="5.728 -0.088 -1.667 -3.246 4.720 -1.667 0.047 0.088 5.965" Properties=species:S:1:pos:R:3 comment="BiPO4 PBE-GGA optimized geometry" formation_energy_uncorrected_ev_per_atom=-1.9191 total_energy_ev_per_atom=-6.77 pbc="T T T"
Bi 0.000 0.000 0.000
O -0.823 2.023 1.106
O 0.389 4.285 1.524
O -1.572 4.285 0.065
P -0.979 3.562 1.315
O -0.079 1.681 4.089
P 1.241 2.316 -1.667
O 1.834 1.593 -0.418
O 1.085 3.855 -1.458
O -1.909 3.655 2.565
O 2.218 2.311 3.048
Bi 3.508 1.158 1.315



5
Lattice="5.345 0.000 0.000 0.000 5.345 0.000 0.000 0.000 4.176" Properties=species:S:1:pos:R:3 comment="BiP2O2 PBE-GGA optimized geometry" formation_energy_uncorrected_ev_per_atom=1.3713 total_energy_ev_per_atom=-3.55 relative_energy_mev_per_atom=1722.8 pbc="T T T"
P 2.672 0.000 0.000
O 0.000 0.000 2.088
O 2.672 2.672 2.088
Bi 0.000 0.000 0.000
P 0.000 2.672 0.000



20
Lattice="-6.821 -0.289 0.422 0.893 6.808 0.634 0.212 -3.617 -7.131" Properties=species:S:1:pos:R:3 comment="BiP2O7 PBE-GGA optimized geometry" formation_energy_uncorrected_ev_per_atom=-1.8077 total_energy_ev_per_atom=-6.75 relative_energy_mev_per_atom=14.0 pbc="T T T"
O -0.752 3.709 -1.299
P -4.075 0.173 -3.984
P -5.157 -0.346 -1.280
O -3.017 3.314 -2.433
O -4.833 0.548 -2.592
O -5.542 0.679 -0.205
O -0.882 2.355 -3.483
O -4.004 1.490 -4.750
Bi -3.979 3.773 -4.473
O -6.314 -1.296 -1.640
O 0.599 4.198 -4.436
Bi -1.736 -0.871 -1.603
P -1.640 2.730 -2.092
O -2.698 -0.411 -3.642
O -3.009 5.642 -0.322
O -1.712 1.413 -1.326
P -0.558 3.248 -4.796
O -4.963 -0.807 -4.776
O -0.173 2.223 -5.871
O -2.706 -2.740 -5.754



34
Lattice="10.829 0.004 -0.014 4.293 9.942 -0.014 1.028 0.676 5.126" Properties=species:S:1:pos:R:3 comment="BiP4O12 PBE-GGA optimized geometry" formation_energy_uncorrected_ev_per_atom=-1.8491 total_energy_ev_per_atom=-6.85 relative_energy_mev_per_atom=42.8 pbc="T T T"
O 13.931 9.162 4.740
Bi 10.388 6.832 2.005
P 2.054 3.068 0.498
P 11.046 4.669 5.101
O 2.218 1.459 0.358
O 12.170 6.210 0.497
O 6.341 5.869 3.830
O 4.109 0.691 1.916
O 6.089 7.210 -0.014
O 9.808 4.752 1.267
O 6.830 2.709 1.282
O 13.888 7.122 3.182
P 5.103 5.952 -0.003
O 2.262 3.499 1.916
O 3.980 4.412 4.601
O 8.761 1.427 5.093
O 8.249 7.124 1.267
P 12.519 9.951 4.599
O 5.193 5.198 1.282
P 8.662 8.293 5.101
O 9.319 7.912 3.816
O 7.901 3.498 3.830
P 14.096 7.553 4.599
Bi 5.761 3.789 3.093
O 12.040 9.930 3.182
O 5.627 1.907 4.601
O 11.369 3.142 0.005
O 10.956 5.423 3.816
P 3.630 0.671 0.498
O 7.389 9.194 0.005
P 7.487 2.328 -0.003
O 4.781 7.479 5.093
O 10.522 8.715 0.497
O 9.032 2.735 -0.014



4
Lattice="0.000 3.247 3.247 3.247 0.000 3.247 3.247 3.247 0.000" Properties=species:S:1:pos:R:3 comment="BiP2O PBE-GGA optimized geometry" formation_energy_uncorrected_ev_per_atom=0.7767 total_energy_ev_per_atom=-4.14 relative_energy_mev_per_atom=619.9 pbc="T T T"
P 4.870 4.870 4.870
P 1.623 1.623 1.623
Bi 3.247 3.247 3.247
O 0.000 0.000 0.000



34
Lattice="-3.075 7.777 3.183 -7.921 4.098 -0.736 -6.195 0.361 7.319" Properties=species:S:1:pos:R:3 comment="BiP4O12 PBE-GGA optimized geometry" formation_energy_uncorrected_ev_per_atom=-1.8919 total_energy_ev_per_atom=-6.89 relative_energy_mev_per_atom=0.0 pbc="T T T"
P -4.836 4.230 1.704
P -5.999 2.487 6.795
O -4.959 1.372 3.407
O -6.610 3.398 5.630
O -10.890 8.371 8.114
O -10.488 5.526 7.979
O -10.581 8.839 4.136
P -4.144 1.363 2.130
O -12.688 7.504 6.570
O -4.503 4.733 3.195
O -9.612 6.808 2.983
O -5.390 1.258 6.198
O -6.703 6.711 1.787
O -7.015 2.343 7.908
O -2.812 0.683 2.118
O -12.232 10.865 6.358
O -6.301 3.867 1.652
O -9.102 3.773 5.639
O -7.536 5.235 4.202
Bi -8.439 4.971 1.927
P -7.713 4.578 5.541
O -9.655 7.002 5.564
O -13.208 9.377 8.176
P -9.478 7.659 4.224
P -12.355 8.007 8.062
O -7.579 5.429 6.783
O -3.983 2.861 1.590
P -13.047 10.874 7.636
O -11.801 10.979 3.568
O -14.379 11.554 7.647
O -8.089 8.464 4.126
O -10.176 9.894 1.858
P -11.192 9.750 2.971
Bi -8.752 7.266 7.839



20
Lattice="3.614 6.112 -0.011 -3.614 6.112 -0.011 0.000 0.024 6.478" Properties=species:S:1:pos:R:3 comment="Bi3P3O14 PBE-GGA optimized geometry" formation_energy_uncorrected_ev_per_atom=-1.4767 total_energy_ev_per_atom=-6.34 relative_energy_mev_per_atom=251.6 pbc="T T T"
P 1.979 3.404 1.084
O -0.247 1.013 1.458
O 0.789 2.978 2.014
Bi -1.674 9.352 4.256
O 0.506 6.915 2.203
O 1.607 4.668 0.258
O 1.607 7.580 6.199
P 1.979 8.845 5.373
O -0.485 2.473 4.375
Bi -1.674 2.896 2.201
O -0.485 9.775 2.082
P -0.365 6.124 3.229
O 0.789 9.271 4.443
O -1.294 8.429 0.025
O -1.224 5.193 2.332
O -1.294 3.819 6.432
O -1.224 7.055 4.125
Bi -0.157 6.112 -0.011
O 0.506 5.333 4.254
O -0.247 11.236 4.999



8
Lattice="5.046 0.000 0.000 0.000 5.046 0.000 2.523 2.523 6.062" Properties=species:S:1:pos:R:3 comment="BiP2O PBE-GGA optimized geometry" formation_energy_uncorrected_ev_per_atom=0.1568 total_energy_ev_per_atom=-4.76 relative_energy_mev_per_atom=0.0 pbc="T T T"
P 2.517 3.784 1.515
O 2.523 5.046 3.031
O 2.523 2.523 0.000
Bi 0.000 0.000 0.000
P 6.307 5.051 4.546
P 2.529 1.261 1.515
Bi 5.046 2.523 3.031
P 3.784 5.040 4.546



15
Lattice="5.599 0.146 -0.145 -0.613 6.854 0.063 -2.567 -2.547 6.163" Properties=species:S:1:pos:R:3 comment="Bi3P2O10 PBE-GGA optimized geometry" formation_energy_uncorrected_ev_per_atom=-1.6830 total_energy_ev_per_atom=-6.49 relative_energy_mev_per_atom=17.9 pbc="T T T"
O 2.154 0.664 1.111
Bi -3.084 4.282 6.087
O 0.877 5.261 3.624
O 2.875 1.682 3.339
Bi 2.347 5.254 1.524
O 0.669 2.366 2.230
O -0.224 0.047 4.522
O 0.838 3.001 5.744
O 2.885 3.079 1.222
P 2.153 1.953 1.995
P 0.032 -1.114 3.537
O -1.549 4.545 3.998
Bi -0.625 2.248 4.195
O -1.819 2.537 6.112
O -0.418 -0.697 2.082



68
Lattice="7.342 -0.008 0.000 -0.260 9.896 0.000 0.000 0.000 13.441" Properties=species:S:1:pos:R:3 comment="BiP4O12 PBE-GGA optimized geometry" formation_energy_uncorrected_ev_per_atom=-1.8805 total_energy_ev_per_atom=-6.88 relative_energy_mev_per_atom=11.4 pbc="T T T"
O 5.122 3.977 8.209
O 6.772 3.341 1.623
O 5.180 5.822 2.146
P 1.690 2.893 12.200
O 5.761 0.959 1.489
O 1.640 0.878 4.574
Bi 3.414 5.152 9.738
O 0.818 8.362 9.251
O 5.235 2.813 13.248
O 6.264 1.525 4.189
O 4.619 3.411 10.910
O 1.846 7.075 0.193
O 6.555 1.948 8.879
O 1.901 4.066 11.295
O 0.540 1.951 11.959
O 5.152 0.980 11.460
O 4.048 7.888 1.087
P 6.334 2.655 5.181
O 2.971 8.292 5.097
Bi 7.215 0.200 10.423
O 4.327 2.988 2.159
O 0.309 6.547 11.818
O 2.754 6.900 11.282
P 2.533 7.606 1.539
P 5.473 2.436 1.352
O 1.601 3.832 2.742
O 1.191 1.494 1.733
P 5.392 6.995 1.241
O 5.442 9.010 8.866
O 4.081 6.895 8.202
P 4.549 2.281 11.901
P 1.851 2.051 5.480
O 4.732 6.438 4.988
O 1.940 1.112 9.462
O 1.929 8.908 1.980
O 5.142 8.776 3.978
O 5.647 2.123 6.527
P 2.539 1.955 8.381
P 4.542 7.933 5.060
O 2.463 6.477 2.531
O 4.110 1.596 8.344
O 5.480 6.056 10.699
O 5.550 6.361 13.198
O 3.033 2.000 12.354
P 1.609 7.452 12.089
O 6.541 7.937 1.481
O 2.009 1.418 6.963
P 1.001 2.989 1.661
P 1.672 7.387 5.368
O 0.527 7.939 4.562
Bi 3.668 4.736 3.702
P 5.410 2.501 8.073
O 6.574 6.944 7.807
Bi -0.133 9.688 3.018
P 0.748 7.233 8.260
O 5.730 3.956 4.740
O 5.891 8.394 11.708
O 1.531 3.526 0.243
O 2.350 3.450 8.453
O 5.072 8.470 6.478
O 1.434 7.765 6.914
O 1.321 8.929 11.952
P 5.230 7.836 7.961
O 0.508 2.944 5.634
P 6.080 6.899 11.780
O 3.000 2.993 5.239
O 1.352 5.932 8.701
O 1.960 5.911 5.232



5
Lattice="4.066 0.000 0.000 0.000 4.066 0.000 0.000 0.000 5.900" Properties=species:S:1:pos:R:3 comment="BiP2O2 PBE-GGA optimized geometry" formation_energy_uncorrected_ev_per_atom=0.3922 total_energy_ev_per_atom=-4.53 relative_energy_mev_per_atom=743.6 pbc="T T T"
O 0.000 2.033 0.000
P 0.000 0.000 2.950
O 2.033 0.000 0.000
P 2.033 2.033 2.950
Bi 0.000 0.000 0.000



Magnetization? In order: 0.00 0.00 0.01 0.00 0.00 0.00 2.34 0.00 2.10 0.00 0.00 4.05 0.00 0.00 4.27 1.00 Bohr magnetons per cell.